(1)
Below is an optimized crystal structure of NaTmHgPb, with properties calculated at the PBE-GGA level.

It has space group F-43m (No. 216), with a = 7.4625 Å, b = 7.4625 Å, c = 7.4625 Å, α = 90.00°, β = 90.00° and γ = 90.00°. The inequivalent atoms are Na at (0.0000, 0.0000, 0.0000), Tm at (0.0000, 0.0000, 0.5000), Hg at (0.2500, 0.2500, 0.2500) and Pb at (0.2500, 0.2500, 0.7500).



(2)
Below is an optimized crystal structure of CoAs, with properties calculated at the PBE-GGA level.

It has space group P6_3mc (No. 186), with a = 3.6993 Å, b = 3.6993 Å, c = 6.0730 Å, α = 90.00°, β = 90.00° and γ = 120.00°. The inequivalent atoms are Co at (0.3333, 0.6667, 0.0000) and As at (0.3333, 0.6667, 0.6249).



Respective calculated density values: 9.6; 6.2 Mg/m³.
Respective energy values: -2.79; -5.75 eV per atom.